This record from the Open Quantum Materials Database describes a geometry-optimized SmCoPO structure. The functional is PBE with a Hubbard U.

Results
The energy comes out at -6.784 eV/atom. The density comes out at 7.0 g/cm³. The calculation puts the calculated volume at 121.5 Å³/cell. As for the space group: P4/nmm, No. 129.

Cell and atoms, written as POSCAR:
```
SmCoPO
1.0
-3.379 0.681 -1.850
-1.950 -0.627 3.332
0.575 7.713 1.788
Sm P O Co
2 2 2 2
Direct
0.500 0.000 0.851
0.000 0.500 0.149
0.000 0.500 0.628
0.500 0.000 0.372
0.500 0.500 0.000
0.000 0.000 0.000
0.500 0.500 0.500
0.000 0.000 0.500
```